Record 1
# SmZrPdAu (PBE-GGA, optimized geometry)
data_SmZrPdAu
_chemical_formula_sum 'Sm4 Zr4 Pd4 Au4'
_cell_length_a 7.024
_cell_length_b 7.024
_cell_length_c 7.024
_cell_angle_alpha 90.00
_cell_angle_beta 90.00
_cell_angle_gamma 90.00
_symmetry_space_group_name_H-M 'F -4 3 m'
_symmetry_Int_Tables_number 216
_symmetry_space_group_name_Hall 'F -4 2 3'
loop_
_atom_site_label
_atom_site_type_symbol
_atom_site_fract_x
_atom_site_fract_y
_atom_site_fract_z
Sm1 Sm 0.000 0.000 0.000
Zr1 Zr 0.000 0.000 0.500
Pd1 Pd 0.250 0.250 0.250
Au1 Au 0.250 0.250 0.750
# N(E_F): 4.16 states/eV/f.u.
# Calculated volume: 347 Å³/cell
# Uncorrected energy: -0.220 Ha/atom

---

Record 2
# Tc6Bi4O19 (PBE-GGA, optimized geometry)
data_Tc6Bi4O19
_chemical_formula_sum 'Tc12 Bi8 O38'
_cell_length_a 9.102
_cell_length_b 9.102
_cell_length_c 9.102
_cell_angle_alpha 90.00
_cell_angle_beta 90.00
_cell_angle_gamma 90.00
_symmetry_space_group_name_H-M 'I 2 3'
_symmetry_Int_Tables_number 197
_symmetry_space_group_name_Hall 'I 2 2 3'
loop_
_atom_site_label
_atom_site_type_symbol
_atom_site_fract_x
_atom_site_fract_y
_atom_site_fract_z
Tc1 Tc 0.000 0.366 0.500
Bi1 Bi 0.152 0.152 0.848
O1 O 0.000 0.000 0.000
O2 O 0.000 0.000 0.319
O3 O 0.006 0.345 0.716
# N(E_F): 7.97 states/eV/f.u.
# Calculated volume: 754 Å³/cell
# E_form (uncorrected): -37.88 eV per formula unit

---

Record 3
# BC3 (PBE-GGA, optimized geometry)
data_BC3
_chemical_formula_sum 'B3 C9'
_cell_length_a 4.611
_cell_length_b 2.543
_cell_length_c 6.343
_cell_angle_alpha 90.00
_cell_angle_beta 90.71
_cell_angle_gamma 90.00
_symmetry_space_group_name_H-M 'P 1 m 1'
_symmetry_Int_Tables_number 6
_symmetry_space_group_name_Hall 'P -2y'
loop_
_atom_site_label
_atom_site_type_symbol
_atom_site_fract_x
_atom_site_fract_y
_atom_site_fract_z
B1 B 0.000 0.000 0.000
B2 B 0.051 0.000 0.713
B3 B 0.826 0.500 0.644
C1 C 0.188 0.500 0.313
C2 C 0.194 0.500 0.064
C3 C 0.356 0.000 0.395
C4 C 0.366 0.000 0.642
C5 C 0.506 0.500 0.980
C6 C 0.511 0.500 0.732
C7 C 0.668 0.000 0.060
C8 C 0.684 0.000 0.307
C9 C 0.852 0.500 0.384
# Energy above the most stable polymorph in this dataset: 50 kJ/mol of formula units
# N(E_F): 0.34 states/eV/f.u.
# Calculated volume: 74 Å³/cell

---

Record 4
# MnCr2Se (PBE-GGA, optimized geometry)
data_MnCr2Se
_chemical_formula_sum 'Mn2 Cr4 Se2'
_cell_length_a 3.598
_cell_length_b 3.598
_cell_length_c 8.510
_cell_angle_alpha 90.00
_cell_angle_beta 90.00
_cell_angle_gamma 90.00
_symmetry_space_group_name_H-M 'I -4 m 2'
_symmetry_Int_Tables_number 119
_symmetry_space_group_name_Hall 'I -4 -2'
loop_
_atom_site_label
_atom_site_type_symbol
_atom_site_fract_x
_atom_site_fract_y
_atom_site_fract_z
Mn1 Mn 0.000 0.000 0.000
Cr1 Cr 0.000 0.000 0.500
Cr2 Cr 0.000 0.500 0.250
Se1 Se 0.000 0.500 0.750
# N(E_F): 3.19 states/eV/f.u.
# Calculated volume: 110 Å³/cell
# E_form (uncorrected): 1.07 eV per formula unit